No. 1
A plane-wave DFT calculation with meta-GGA SCAN was carried out for K2RuRh at its PBEsol-relaxed geometry.

Geometry as POSCAR:
```
K2RuRh
1.0
3.817 0.000 0.000
0.000 3.817 0.000
0.000 0.000 10.789
K Ru Rh
4 2 2
Direct
0.000 0.500 0.250
0.000 0.500 0.750
0.500 0.000 0.250
0.500 0.000 0.750
0.000 0.000 0.000
0.500 0.500 0.500
0.000 0.000 0.500
0.500 0.500 0.000
```

## Properties
Energy relative to the lowest polymorph listed for this composition in eV per atom: 0.4637
Crystal system: tetragonal
Formation enthalpy at 0 K in eV/atom: 1.031
Total moment in μB per formula unit: 2.34
Calculated volume in Å³/atom: 19.646

No. 2
A plane-wave DFT calculation with meta-GGA SCAN was carried out for LaTl2Cd at its PBEsol-relaxed geometry.

Geometry as POSCAR:
```
LaTl2Cd
1.0
4.760 0.000 0.000
0.000 4.760 0.000
0.000 0.000 9.454
La Tl Cd
2 4 2
Direct
0.000 0.000 0.000
0.500 0.500 0.500
0.000 0.000 0.500
0.000 0.500 0.250
0.500 0.000 0.750
0.500 0.500 0.000
0.000 0.500 0.750
0.500 0.000 0.250
```

## Properties
Crystal system: tetragonal
Formation enthalpy at 0 K in eV/atom: -0.364
Total moment in μB per formula unit: 0.00
Calculated volume in Å³/atom: 26.774

No. 3
A plane-wave DFT calculation with meta-GGA SCAN was carried out for Be2AgCl at its PBEsol-relaxed geometry.

Geometry as POSCAR:
```
Be2AgCl
1.0
3.095 0.000 0.000
0.000 3.393 0.000
0.000 0.000 5.833
Be Ag Cl
2 1 1
Direct
0.000 0.000 0.000
0.000 0.500 0.500
0.500 0.000 0.500
0.500 0.500 0.000
```

## Properties
Energy relative to the lowest polymorph listed for this composition in eV per atom: 0.4161
Crystal system: orthorhombic
Total moment in μB per formula unit: 0.00
Uncorrected formation energy in eV/atom: 0.48
Calculated volume in Å³/atom: 15.315

No. 4
A plane-wave DFT calculation with meta-GGA SCAN was carried out for BiSbRu3 at its PBEsol-relaxed geometry.

Geometry as POSCAR:
```
BiSbRu3
1.0
4.780 0.000 0.000
0.000 4.780 0.000
0.000 0.000 4.780
Bi Sb Ru
1 1 3
Direct
0.000 0.000 0.000
0.500 0.500 0.500
0.000 0.500 0.500
0.500 0.000 0.500
0.500 0.500 0.000
```

## Properties
Crystal system: cubic
Total moment in μB per formula unit: 1.67
Uncorrected formation energy in eV/atom: 1.45
Calculated volume in Å³/atom: 21.839

No. 5
A plane-wave DFT calculation with meta-GGA SCAN was carried out for RbSr3Cu at its PBEsol-relaxed geometry.

Geometry as POSCAR:
```
RbSr3Cu
1.0
6.149 0.000 0.000
0.000 6.149 0.000
0.000 0.000 6.149
Rb Sr Cu
1 3 1
Direct
0.000 0.000 0.000
0.000 0.500 0.500
0.500 0.000 0.500
0.500 0.500 0.000
0.500 0.500 0.500
```

## Properties
Crystal system: cubic
Formation enthalpy at 0 K in eV/atom: 0.065
Total moment in μB per formula unit: 0.05
Calculated volume in Å³/atom: 46.508

No. 6
A plane-wave DFT calculation with meta-GGA SCAN was carried out for Zr3Ni at its PBEsol-relaxed geometry.

Geometry as POSCAR:
```
Zr3Ni
1.0
3.175 0.000 0.000
0.000 9.381 0.000
0.000 0.000 5.186
Zr Ni
6 2
Direct
0.000 0.000 0.000
0.000 0.205 0.557
0.000 0.795 0.557
0.500 0.295 0.057
0.500 0.500 0.500
0.500 0.705 0.057
0.000 0.500 0.893
0.500 0.000 0.393
```

## Properties
Crystal system: orthorhombic
Formation enthalpy at 0 K in eV/atom: -0.199
Total moment in μB per formula unit: 0.00
Calculated volume in Å³/atom: 19.305

No. 7
A plane-wave DFT calculation with meta-GGA SCAN was carried out for Re2MoSe at its PBEsol-relaxed geometry.

Geometry as POSCAR:
```
Re2MoSe
1.0
2.957 0.000 0.000
0.000 4.459 0.000
0.000 0.000 8.916
Re Mo Se
4 2 2
Direct
0.000 0.000 0.000
0.000 0.500 0.241
0.500 0.000 0.741
0.500 0.500 0.500
0.000 0.000 0.458
0.500 0.500 0.958
0.000 0.500 0.729
0.500 0.000 0.229
```

## Properties
Crystal system: orthorhombic
Total moment in μB per formula unit: 0.00
Uncorrected formation energy in eV/atom: 0.41
Calculated volume in Å³/atom: 14.695

No. 8
A plane-wave DFT calculation with meta-GGA SCAN was carried out for RbPb3W at its PBEsol-relaxed geometry.

Geometry as POSCAR:
```
RbPb3W
1.0
5.774 0.000 0.000
0.000 5.774 0.000
0.000 0.000 5.774
Rb Pb W
1 3 1
Direct
0.000 0.000 0.000
0.000 0.000 0.500
0.000 0.500 0.000
0.500 0.000 0.000
0.500 0.500 0.500
```

## Properties
Crystal system: cubic
Formation enthalpy at 0 K in eV/atom: 2.396
Total moment in μB per formula unit: 4.33
Calculated volume in Å³/atom: 38.491

No. 9
A plane-wave DFT calculation with meta-GGA SCAN was carried out for CaLa2Co at its PBEsol-relaxed geometry.

Geometry as POSCAR:
```
CaLa2Co
1.0
4.385 0.000 0.000
0.000 4.385 0.000
0.000 0.000 10.585
Ca La Co
2 4 2
Direct
0.000 0.000 0.000
0.500 0.500 0.500
0.000 0.000 0.500
0.000 0.500 0.750
0.500 0.000 0.250
0.500 0.500 0.000
0.000 0.500 0.250
0.500 0.000 0.750
```

## Properties
Energy relative to the lowest polymorph listed for this composition in eV per atom: 0.3892
Crystal system: tetragonal
Formation enthalpy at 0 K in eV/atom: 0.417
Total moment in μB per formula unit: 1.40
Calculated volume in Å³/atom: 25.444

No. 10
A plane-wave DFT calculation with meta-GGA SCAN was carried out for Ba3NiSb2O9 at its PBEsol-relaxed geometry.

Geometry as POSCAR:
```
Ba3NiSb2O9
1.0
5.793 0.000 0.000
-2.897 5.017 0.000
0.000 0.000 14.340
Ba Ni Sb O
6 2 4 18
Direct
0.000 0.000 0.000
0.000 0.000 0.500
0.333 0.667 0.170
0.333 0.667 0.863
0.667 0.333 0.363
0.667 0.333 0.670
0.333 0.667 0.409
0.667 0.333 0.909
0.000 0.000 0.259
0.000 0.000 0.759
0.333 0.667 0.593
0.667 0.333 0.093
0.022 0.511 0.509
0.163 0.326 0.334
0.163 0.837 0.334
0.165 0.330 0.673
0.165 0.835 0.673
0.326 0.163 0.834
0.330 0.165 0.173
0.489 0.511 0.509
0.489 0.978 0.509
0.511 0.022 0.009
0.511 0.489 0.009
0.670 0.835 0.673
0.674 0.837 0.334
0.835 0.165 0.173
0.835 0.670 0.173
0.837 0.163 0.834
0.837 0.674 0.834
0.978 0.489 0.009
```

## Properties
Energy relative to the lowest polymorph listed for this composition in eV per atom: 0.0031
Crystal system: hexagonal
Total moment in μB per formula unit: 1.96
Uncorrected formation energy in eV/atom: -2.26
Calculated volume in Å³/atom: 13.894

No. 11
A plane-wave DFT calculation with meta-GGA SCAN was carried out for LuGaNi2 at its PBEsol-relaxed geometry.

Geometry as POSCAR:
```
LuGaNi2
1.0
6.093 0.000 0.000
0.000 6.093 0.000
0.000 0.000 6.093
Lu Ga Ni
4 4 8
Direct
0.000 0.000 0.000
0.000 0.500 0.500
0.500 0.000 0.500
0.500 0.500 0.000
0.000 0.000 0.500
0.000 0.500 0.000
0.500 0.000 0.000
0.500 0.500 0.500
0.250 0.250 0.250
0.250 0.250 0.750
0.250 0.750 0.250
0.250 0.750 0.750
0.750 0.250 0.250
0.750 0.250 0.750
0.750 0.750 0.250
0.750 0.750 0.750
```

## Properties
Crystal system: cubic
Formation enthalpy at 0 K in eV/atom: -0.541
Total moment in μB per formula unit: 0.00
Calculated volume in Å³/atom: 14.141

No. 12
A plane-wave DFT calculation with meta-GGA SCAN was carried out for Mg2ScBr at its PBEsol-relaxed geometry.

Geometry as POSCAR:
```
Mg2ScBr
1.0
3.348 0.000 0.000
0.000 3.348 0.000
0.000 0.000 8.584
Mg Sc Br
2 1 1
Direct
0.000 0.000 0.000
0.500 0.500 0.230
0.000 0.000 0.479
0.500 0.500 0.651
```

## Properties
Energy relative to the lowest polymorph listed for this composition in eV per atom: 0.0000
Crystal system: tetragonal
Total moment in μB per formula unit: 0.81
Uncorrected formation energy in eV/atom: -0.42
Calculated volume in Å³/atom: 24.059

No. 13
A plane-wave DFT calculation with meta-GGA SCAN was carried out for LiY2P2 at its PBEsol-relaxed geometry.

Geometry as POSCAR:
```
LiY2P2
1.0
7.333 0.000 0.000
0.000 7.333 0.000
0.000 0.000 3.727
Li Y P
2 4 4
Direct
0.000 0.000 0.000
0.500 0.500 0.000
0.154 0.346 0.500
0.346 0.846 0.500
0.654 0.154 0.500
0.846 0.654 0.500
0.156 0.656 0.000
0.344 0.156 0.000
0.656 0.844 0.000
0.844 0.344 0.000
```

## Properties
Crystal system: tetragonal
Formation enthalpy at 0 K in eV/atom: -1.317
Total moment in μB per formula unit: 0.78
Calculated volume in Å³/atom: 20.036

No. 14
A plane-wave DFT calculation with meta-GGA SCAN was carried out for AlPtRh at its PBEsol-relaxed geometry.

Geometry as POSCAR:
```
AlPtRh
1.0
5.889 0.000 0.000
0.000 5.889 0.000
0.000 0.000 5.889
Al Pt Rh
4 4 4
Direct
0.000 0.000 0.000
0.000 0.500 0.500
0.500 0.000 0.500
0.500 0.500 0.000
0.250 0.250 0.250
0.250 0.750 0.750
0.750 0.250 0.750
0.750 0.750 0.250
0.000 0.000 0.500
0.000 0.500 0.000
0.500 0.000 0.000
0.500 0.500 0.500
```

## Properties
Energy relative to the lowest polymorph listed for this composition in eV per atom: 0.4800
Crystal system: cubic
Formation enthalpy at 0 K in eV/atom: -0.412
Total moment in μB per formula unit: 0.68
Calculated volume in Å³/atom: 17.016

No. 15
A plane-wave DFT calculation with meta-GGA SCAN was carried out for NaAsHBr2 at its PBEsol-relaxed geometry.

Geometry as POSCAR:
```
NaAsHBr2
1.0
5.402 0.000 0.000
0.000 5.402 0.000
0.000 0.000 5.608
Na As H Br
1 1 1 2
Direct
0.000 0.000 0.000
0.000 0.000 0.500
0.500 0.500 0.500
0.000 0.500 0.000
0.500 0.000 0.000
```

## Properties
Crystal system: tetragonal
Electronic total energy in eV/atom: -12.744
Total moment in μB per formula unit: 3.69
Calculated volume in Å³/atom: 32.727

No. 16
A plane-wave DFT calculation with meta-GGA SCAN was carried out for Sr2MnAs at its PBEsol-relaxed geometry.

Geometry as POSCAR:
```
Sr2MnAs
1.0
5.097 0.000 0.000
0.000 5.097 0.000
0.000 0.000 4.151
Sr Mn As
2 1 1
Direct
0.000 0.500 0.000
0.500 0.000 0.000
0.000 0.000 0.500
0.500 0.500 0.500
```

## Properties
Crystal system: tetragonal
Formation enthalpy at 0 K in eV/atom: -0.394
Total moment in μB per formula unit: 4.82
Calculated volume in Å³/atom: 26.964

No. 17
A plane-wave DFT calculation with meta-GGA SCAN was carried out for InAsBr at its PBEsol-relaxed geometry.

Geometry as POSCAR:
```
InAsBr
1.0
6.934 0.000 0.000
0.000 6.934 0.000
0.000 0.000 6.934
In As Br
4 4 4
Direct
0.000 0.000 0.000
0.000 0.500 0.500
0.500 0.000 0.500
0.500 0.500 0.000
0.000 0.000 0.500
0.000 0.500 0.000
0.500 0.000 0.000
0.500 0.500 0.500
0.250 0.250 0.250
0.250 0.750 0.750
0.750 0.250 0.750
0.750 0.750 0.250
```

## Properties
Crystal system: cubic
Total moment in μB per formula unit: 0.00
Uncorrected formation energy in eV/atom: 0.74
Calculated volume in Å³/atom: 27.787

No. 18
A plane-wave DFT calculation with meta-GGA SCAN was carried out for MnRuN2F at its PBEsol-relaxed geometry.

Geometry as POSCAR:
```
MnRuN2F
1.0
3.697 0.000 0.000
0.000 3.697 0.000
0.000 0.000 3.651
Mn Ru N F
1 1 2 1
Direct
0.000 0.000 0.000
0.500 0.500 0.500
0.000 0.500 0.000
0.500 0.000 0.000
0.000 0.000 0.500
```

## Properties
Energy relative to the lowest polymorph listed for this composition in eV per atom: 0.2319
Crystal system: tetragonal
Total moment in μB per formula unit: 1.01
Uncorrected formation energy in eV/atom: 0.31
Calculated volume in Å³/atom: 9.977

No. 19
A plane-wave DFT calculation with meta-GGA SCAN was carried out for ZnCoP2 at its PBEsol-relaxed geometry.

Geometry as POSCAR:
```
ZnCoP2
1.0
2.562 0.000 0.000
0.000 3.463 0.000
0.000 0.000 6.482
Zn Co P
1 1 2
Direct
0.000 0.000 0.000
0.500 0.500 0.471
0.000 0.000 0.362
0.500 0.500 0.802
```

## Properties
Crystal system: orthorhombic
Formation enthalpy at 0 K in eV/atom: -0.024
Total moment in μB per formula unit: 0.00
Calculated volume in Å³/atom: 14.377

No. 20
A plane-wave DFT calculation with meta-GGA SCAN was carried out for RbFe3Tc at its PBEsol-relaxed geometry.

Geometry as POSCAR:
```
RbFe3Tc
1.0
4.646 0.000 0.000
0.000 4.646 0.000
0.000 0.000 4.646
Rb Fe Tc
1 3 1
Direct
0.000 0.000 0.000
0.000 0.500 0.500
0.500 0.000 0.500
0.500 0.500 0.000
0.500 0.500 0.500
```

## Properties
Crystal system: cubic
Formation enthalpy at 0 K in eV/atom: 1.345
Total moment in μB per formula unit: 8.93
Calculated volume in Å³/atom: 20.052

No. 21
A plane-wave DFT calculation with meta-GGA SCAN was carried out for Ta4BePb at its PBEsol-relaxed geometry.

Geometry as POSCAR:
```
Ta4BePb
1.0
0.000 3.857 3.857
3.857 0.000 3.857
3.857 3.857 0.000
Ta Be Pb
4 1 1
Direct
0.376 0.376 0.376
0.376 0.376 0.872
0.376 0.872 0.376
0.872 0.376 0.376
0.750 0.750 0.750
0.000 0.000 0.000
```

## Properties
Crystal system: cubic
Formation enthalpy at 0 K in eV/atom: 0.737
Total moment in μB per formula unit: 0.00
Calculated volume in Å³/atom: 19.119

No. 22
A plane-wave DFT calculation with meta-GGA SCAN was carried out for YScNF2 at its PBEsol-relaxed geometry.

Geometry as POSCAR:
```
YScNF2
1.0
3.975 0.000 0.000
0.000 3.975 0.000
0.000 0.000 4.333
Y Sc N F
1 1 1 2
Direct
0.000 0.000 0.000
0.500 0.500 0.500
0.500 0.500 0.000
0.000 0.500 0.500
0.500 0.000 0.500
```

## Properties
Crystal system: tetragonal
Total moment in μB per formula unit: 0.52
Uncorrected formation energy in eV/atom: -2.48
Calculated volume in Å³/atom: 13.690

No. 23
A plane-wave DFT calculation with meta-GGA SCAN was carried out for AlSb8 at its PBEsol-relaxed geometry.

Geometry as POSCAR:
```
AlSb8
1.0
-5.569 5.569 1.865
5.569 -5.569 1.865
5.569 5.569 -1.865
Al Sb
1 8
Direct
0.000 0.000 0.000
0.000 0.339 0.339
0.000 0.661 0.661
0.339 0.000 0.339
0.356 0.356 0.711
0.356 0.644 0.000
0.644 0.356 0.000
0.644 0.644 0.289
0.661 0.000 0.661
```

## Properties
Crystal system: tetragonal
Total moment in μB per formula unit: 0.00
Uncorrected formation energy in eV/atom: 0.22
Calculated volume in Å³/atom: 25.704

No. 24
A plane-wave DFT calculation with meta-GGA SCAN was carried out for SrMo4Pt at its PBEsol-relaxed geometry.

Geometry as POSCAR:
```
SrMo4Pt
1.0
0.000 3.763 3.763
3.763 0.000 3.763
3.763 3.763 0.000
Sr Mo Pt
1 4 1
Direct
0.000 0.000 0.000
0.374 0.374 0.374
0.374 0.374 0.879
0.374 0.879 0.374
0.879 0.374 0.374
0.750 0.750 0.750
```

## Properties
Crystal system: cubic
Formation enthalpy at 0 K in eV/atom: 0.591
Total moment in μB per formula unit: 0.00
Calculated volume in Å³/atom: 17.764

No. 25
A plane-wave DFT calculation with meta-GGA SCAN was carried out for ReAg2As at its PBEsol-relaxed geometry.

Geometry as POSCAR:
```
ReAg2As
1.0
2.712 0.000 0.000
0.000 2.712 0.000
0.000 0.000 8.921
Re Ag As
1 2 1
Direct
0.000 0.000 0.000
0.500 0.500 0.240
0.500 0.500 0.760
0.000 0.000 0.500
```

## Properties
Crystal system: tetragonal
Formation enthalpy at 0 K in eV/atom: 0.557
Total moment in μB per formula unit: 0.00
Calculated volume in Å³/atom: 16.399

No. 26
A plane-wave DFT calculation with meta-GGA SCAN was carried out for Sr2BiS at its PBEsol-relaxed geometry.

Geometry as POSCAR:
```
Sr2BiS
1.0
8.276 0.000 0.000
0.000 8.276 0.000
0.000 0.000 7.747
Sr Bi S
8 4 4
Direct
0.204 0.750 0.125
0.250 0.204 0.875
0.250 0.296 0.375
0.296 0.750 0.625
0.704 0.250 0.625
0.750 0.704 0.375
0.750 0.796 0.875
0.796 0.250 0.125
0.000 0.000 0.500
0.000 0.500 0.750
0.500 0.000 0.250
0.500 0.500 0.000
0.000 0.000 0.000
0.000 0.500 0.250
0.500 0.000 0.750
0.500 0.500 0.500
```

## Properties
Crystal system: tetragonal
Total moment in μB per formula unit: 0.33
Uncorrected formation energy in eV/atom: -1.26
Calculated volume in Å³/atom: 33.162